# 1
A crystal of FeNi2Rh relaxed with PBEsol, computed with meta-GGA SCAN.

a = 3.5601 Å, b = 3.5601 Å, c = 7.2877 Å
α = 90.00°, β = 90.00°, γ = 90.00°
Space group I4/mmm (No. 139)
Asymmetric unit:
Fe: 0.0000 0.0000 0.0000
Ni: 0.0000 0.5000 0.2500
Rh: 0.0000 0.0000 0.5000

Calculated values
Energy of formation = -0.148 eV/atom
Total magnetic moment = 5.46 μB per formula unit
N(E_F) = 0.37 states/eV/atom
Final energy = -169.68 eV per cell

# 2
A crystal of BaMnRu relaxed with PBEsol, computed with meta-GGA SCAN.

a = 6.5444 Å, b = 6.5444 Å, c = 6.5444 Å
α = 90.00°, β = 90.00°, γ = 90.00°
Space group F-43m (No. 216)
Asymmetric unit:
Ba: 0.0000 0.0000 0.0000
Mn: 0.2500 0.2500 0.2500
Ru: 0.2500 0.2500 0.7500

Calculated values
Energy of formation = 1.633 eV/atom
Total magnetic moment = 4.68 μB per formula unit
N(E_F) = 0.44 states/eV/atom
Final energy = -350.93 eV per cell
Relative energy among the computed polymorphs = 1.152 eV per atom

# 3
A crystal of Zr2CrAu2 relaxed with PBEsol, computed with meta-GGA SCAN.

a = 3.6631 Å, b = 3.6631 Å, c = 14.9886 Å
α = 90.00°, β = 90.00°, γ = 90.00°
Space group I4/mmm (No. 139)
Asymmetric unit:
Zr: 0.0000 0.0000 0.0965
Cr: 0.0000 0.0000 0.5000
Au: 0.0000 0.5000 0.2500

Calculated values
Energy of formation = 0.069 eV/atom
Total magnetic moment = 2.30 μB per formula unit
N(E_F) = 0.76 states/eV/atom
Final energy = -435.50 eV per cell

# 4
A crystal of LiSiAs relaxed with PBEsol, computed with meta-GGA SCAN.

a = 3.5757 Å, b = 3.5757 Å, c = 5.2512 Å
α = 90.00°, β = 90.00°, γ = 120.00°
Space group P3m1 (No. 156)
Asymmetric unit:
Li: 0.0000 0.0000 0.0000
Si: 0.6667 0.3333 0.6051
As: 0.3333 0.6667 0.3690

Calculated values
Total magnetic moment = 0.00 μB per formula unit
Uncorrected formation energy = -0.66 eV per formula unit
Final energy = -33.25 eV per cell
Relative energy among the computed polymorphs = 0.000 eV per atom

# 5
A crystal of LaTaSi2 relaxed with PBEsol, computed with meta-GGA SCAN.

a = 3.3262 Å, b = 3.3262 Å, c = 7.0752 Å
α = 90.00°, β = 90.00°, γ = 90.00°
Space group P4mm (No. 99)
Asymmetric unit:
La: 0.0000 0.0000 0.0000
Ta: 0.5000 0.5000 0.6636
Si: 0.0000 0.0000 0.4928
Si: 0.5000 0.5000 0.3076

Calculated values
Total magnetic moment = 0.00 μB per formula unit
N(E_F) = 0.94 states/eV/atom
Uncorrected formation energy = 0.19 eV per formula unit
Final energy = -129.53 eV per cell
Relative energy among the computed polymorphs = 0.353 eV per atom

# 6
A crystal of ScZnMo3O8 relaxed with PBEsol, computed with meta-GGA SCAN.

a = 5.7457 Å, b = 5.7457 Å, c = 10.5010 Å
α = 90.00°, β = 90.00°, γ = 120.00°
Space group P6_3mc (No. 186)
Asymmetric unit:
Sc: 0.3333 0.6667 0.0000
Zn: 0.3333 0.6667 0.6065
Mo: 0.1838 0.3676 0.2880
O: 0.0000 0.0000 0.1965
O: 0.0341 0.5171 0.1543
O: 0.1677 0.3353 0.8839
O: 0.3333 0.6667 0.4230

Calculated values
Total magnetic moment = 0.97 μB per formula unit
N(E_F) = 0.05 states/eV/atom
Uncorrected formation energy = -30.11 eV per formula unit
Final energy = -424.73 eV per cell

# 7
A crystal of Li2VCuP2O8 relaxed with PBEsol, computed with meta-GGA SCAN.

a = 4.6797 Å, b = 5.9754 Å, c = 10.0675 Å
α = 90.00°, β = 90.72°, γ = 90.00°
Space group P2_1/m (No. 11)
Asymmetric unit:
Li: 0.0000 0.0000 0.0000
Li: 0.5000 0.0000 0.5000
V: 0.0147 0.2500 0.2810
Cu: 0.4528 0.2500 0.7820
P: 0.0711 0.7500 0.4082
P: 0.4140 0.7500 0.9015
O: 0.1973 0.5387 0.3386
O: 0.2121 0.7500 0.5503
O: 0.2550 0.2500 0.5877
O: 0.2585 0.2500 0.1060
O: 0.2648 0.5493 0.8272
O: 0.3039 0.7500 0.0447

Calculated values
Total magnetic moment = 2.00 μB per formula unit
N(E_F) = 0.21 states/eV/atom
Uncorrected formation energy = -32.70 eV per formula unit
Final energy = -281.62 eV per cell

# 8
A crystal of Ni2HPdI relaxed with PBEsol, computed with meta-GGA SCAN.

a = 4.6201 Å, b = 4.6201 Å, c = 4.9801 Å
α = 90.00°, β = 90.00°, γ = 90.00°
Space group P4/mmm (No. 123)
Asymmetric unit:
Ni: 0.0000 0.5000 0.0000
H: 0.0000 0.0000 0.5000
Pd: 0.5000 0.5000 0.5000
I: 0.5000 0.5000 0.0000

Calculated values
Total magnetic moment = 2.00 μB per formula unit
N(E_F) = 0.83 states/eV/atom
Final energy = -98.16 eV per cell

# 9
A crystal of KTe2F9 relaxed with PBEsol, computed with meta-GGA SCAN.

a = 4.7541 Å, b = 9.2984 Å, c = 9.3270 Å
α = 109.44°, β = 95.72°, γ = 95.37°
Space group P-1 (No. 2)
Asymmetric unit:
K: 0.1200 0.2569 0.0449
Te: 0.1362 0.4070 0.6726
Te: 0.3801 0.9655 0.6895
F: 0.0733 0.4276 0.3518
F: 0.1268 0.5882 0.1858
F: 0.1438 0.9599 0.8519
F: 0.2029 0.7408 0.4674
F: 0.2419 0.2370 0.7511
F: 0.2747 0.0453 0.4186
F: 0.3525 0.5636 0.8578
F: 0.3644 0.8958 0.1401
F: 0.4793 0.2003 0.2637

Calculated values
Total magnetic moment = 0.00 μB per formula unit
N(E_F) = 0.00 states/eV/atom
Uncorrected formation energy = -28.59 eV per formula unit
Final energy = -286.56 eV per cell

# 10
A crystal of CdTc2Hg relaxed with PBEsol, computed with meta-GGA SCAN.

a = 6.3893 Å, b = 6.3893 Å, c = 6.3893 Å
α = 90.00°, β = 90.00°, γ = 90.00°
Space group Fm-3m (No. 225)
Asymmetric unit:
Cd: 0.0000 0.0000 0.0000
Tc: 0.2500 0.2500 0.2500
Hg: 0.0000 0.0000 0.5000

Calculated values
Energy of formation = 0.854 eV/atom
Total magnetic moment = 0.00 μB per formula unit
N(E_F) = 0.74 states/eV/atom
Final energy = -661.14 eV per cell
Relative energy among the computed polymorphs = 0.713 eV per atom

# 11
A crystal of YHfAg2C relaxed with PBEsol, computed with meta-GGA SCAN.

a = 5.1583 Å, b = 5.1583 Å, c = 4.0927 Å
α = 90.00°, β = 90.00°, γ = 90.00°
Space group P4/mmm (No. 123)
Asymmetric unit:
Y: 0.0000 0.0000 0.0000
Hf: 0.5000 0.5000 0.5000
Ag: 0.0000 0.5000 0.5000
C: 0.5000 0.5000 0.0000

Calculated values
Energy of formation = 0.643 eV/atom
Total magnetic moment = 0.00 μB per formula unit
N(E_F) = 0.58 states/eV/atom
Final energy = -160.14 eV per cell

# 12
A crystal of Lu2Te3 relaxed with PBEsol, computed with meta-GGA SCAN.

a = 8.4112 Å, b = 11.9027 Å, c = 25.1934 Å
α = 90.00°, β = 90.00°, γ = 90.00°
Space group Fddd (No. 70, origin choice 2)
Asymmetric unit:
Lu: 0.1250 0.1250 0.0427
Lu: 0.1250 0.1250 0.3746
Te: 0.1183 0.3750 0.8750
Te: 0.1235 0.3737 0.7088

Calculated values
Total magnetic moment = 0.00 μB per formula unit
Uncorrected formation energy = -7.32 eV per formula unit
Final energy = -3676.25 eV per cell

The highest final energy belongs to which entry?
LiSiAs